{
  "formula": "Ac2ZnIn3Pd4",
  "functional": "PBE-GGA",
  "state": "optimized geometry",
  "lattice_angstrom": [[4.782, 0.000, 0.000], [0.000, 4.782, 0.000], [0.000, 0.000, 10.284]],
  "species": ["Ac", "Ac", "Zn", "In", "In", "In", "Pd", "Pd", "Pd", "Pd"],
  "frac_coords": [[0.000, 0.500, 0.244], [0.500, 0.000, 0.756], [0.000, 0.000, 0.500], [0.000, 0.500, 0.876], [0.500, 0.000, 0.124], [0.500, 0.500, 0.500], [0.000, 0.000, 0.000], [0.000, 0.500, 0.617], [0.500, 0.000, 0.383], [0.500, 0.500, 0.000]],
  "e_tot_ev_per_fu": -44.89,
  "rho_g_cm3": 9.11
}